Record 1
Compound: CuIr
Source: the Alexandria database
Functional: GGA-PBE
Structure: optimized geometry

The structure in extended XYZ format:
```
4
Lattice="2.662 0.000 0.000 1.331 5.049 0.000 0.000 0.000 4.007" Properties=species:S:1:pos:R:3 pbc="T T T"
Cu 2.662 4.435 1.002
Cu 1.331 0.614 3.005
Ir 2.662 1.879 1.002
Ir 1.331 3.170 3.005
```

Properties
As for the total moment: 0.00 μB per atom. The space-group type is Cmcm (63). The value obtained for the formation energy is 196 meV/atom. Its crystal system is orthorhombic.


Record 2
Compound: SrGa2Pd
Source: the Alexandria database
Functional: GGA-PBE
Structure: optimized geometry

The structure in extended XYZ format:
```
4
Lattice="0.000 3.438 3.438 3.438 0.000 3.438 3.438 3.438 0.000" Properties=species:S:1:pos:R:3 pbc="T T T"
Sr 0.000 0.000 0.000
Ga 1.719 1.719 1.719
Ga 5.157 5.157 5.157
Pd 3.438 3.438 3.438
```

Properties
As for the total moment: 0.00 μB per atom. The space-group type is Fm-3m (225). The value obtained for the formation energy is -358 meV/atom. Its crystal system is cubic.


Record 3
Compound: In3CuPt
Source: the Alexandria database
Functional: GGA-PBE
Structure: optimized geometry

The structure in extended XYZ format:
```
5
Lattice="5.191 0.000 0.000 0.000 5.191 0.000 0.000 0.000 5.191" Properties=species:S:1:pos:R:3 pbc="T T T"
Cu 2.595 2.595 2.595
Pt 0.000 0.000 0.000
In 0.000 2.595 0.000
In 0.000 0.000 2.595
In 2.595 0.000 0.000
```

Properties
As for the total moment: 0.00 μB per atom. The space-group type is Pm-3m (221). The value obtained for the formation energy is 142 meV/atom. Its crystal system is cubic. As for the relative energy among the computed polymorphs: 0 meV per atom.


Record 4
Compound: NaLa2InIr
Source: the Alexandria database
Functional: GGA-PBE
Structure: optimized geometry

The structure in extended XYZ format:
```
5
Lattice="-0.359 -0.163 5.481 4.873 -2.527 0.244 2.504 4.860 0.309" Properties=species:S:1:pos:R:3 pbc="T T T"
Na 1.252 2.430 0.154
Ir 0.000 0.000 0.000
In 3.509 1.085 3.017
La 2.437 -1.263 0.122
La -0.180 -0.081 2.740
```

Properties
As for the total moment: 0.00 μB per atom. The space-group type is P4/mmm (123). The value obtained for the formation energy is -232 meV/atom. Its crystal system is tetragonal. As for the relative energy among the computed polymorphs: 106 meV per atom.


Record 5
Compound: RbCd3O3
Source: the Alexandria database
Functional: GGA-PBE
Structure: optimized geometry

The structure in extended XYZ format:
```
14
Lattice="-2.902 -4.646 3.475 3.380 -5.181 1.952 2.085 0.477 8.434" Properties=species:S:1:pos:R:3 pbc="T T T"
Rb 0.162 -3.271 1.816
Rb 2.401 -6.078 12.044
Cd 2.093 -3.672 4.814
Cd -1.140 -4.927 6.464
Cd 2.077 -7.012 6.710
Cd 0.486 -2.337 7.150
Cd 3.703 -4.422 7.396
Cd 0.470 -5.677 9.047
O 2.721 -5.584 9.029
O -0.350 -3.616 8.807
O 2.715 -2.404 7.229
O -0.152 -6.946 6.631
O 2.913 -5.733 5.054
O -0.158 -3.765 4.832
```

Properties
As for the total moment: 0.00 μB per atom. The space-group type is R-3 (148). Its crystal system is trigonal. The formation energy without anion corrections comes out at -0.8911 eV per atom.


Record 6
Compound: CaSe2Br
Source: the Alexandria database
Functional: GGA-PBE
Structure: optimized geometry

The structure in extended XYZ format:
```
4
Lattice="2.663 0.000 7.703 -1.331 2.306 7.703 -1.331 -2.306 7.703" Properties=species:S:1:pos:R:3 pbc="T T T"
Ca 0.000 0.000 11.555
Se 0.000 0.000 20.541
Se 0.000 0.000 2.568
Br 0.000 0.000 0.000
```

Properties
As for the total moment: 0.00 μB per atom. The space-group type is R-3m (166). Its crystal system is trigonal. The formation energy without anion corrections comes out at -0.7391 eV per atom. As for the relative energy among the computed polymorphs: 342 meV per atom.


Record 7
Compound: PRu2W
Source: the Alexandria database
Functional: GGA-PBE
Structure: optimized geometry

The structure in extended XYZ format:
```
8
Lattice="5.401 0.000 0.000 0.000 5.401 0.000 2.700 2.700 5.431" Properties=species:S:1:pos:R:3 pbc="T T T"
Ru 3.903 1.350 1.358
Ru 1.498 4.051 1.358
Ru 4.051 4.199 4.073
Ru 6.751 6.603 4.073
W 0.000 0.000 0.000
W 5.401 2.700 2.715
P 2.700 2.700 0.000
P 2.700 5.401 2.715
```

Properties
As for the total moment: 0.00 μB per atom. The space-group type is I-42d (122). The value obtained for the formation energy is 451 meV/atom. Its crystal system is tetragonal.


Record 8
Compound: Mn2NiMo
Source: the Alexandria database
Functional: GGA-PBE
Structure: optimized geometry

The structure in extended XYZ format:
```
4
Lattice="-1.531 1.471 -3.572 -4.060 0.814 -0.341 -1.318 3.934 -0.232" Properties=species:S:1:pos:R:3 pbc="T T T"
Mn 0.000 0.000 0.000
Mn -1.728 1.555 -1.036
Mo -3.455 3.109 -2.072
Ni -5.183 4.664 -3.108
```

Properties
As for the total moment: 0.87 μB per atom. The space-group type is F-43m (216). The value obtained for the formation energy is 160 meV/atom. Its crystal system is cubic.